{"formula": "MnBeCu2", "functional": "SCAN", "state": "PBEsol geometry", "lattice_angstrom": [[2.333, 0.000, 0.000], [0.000, 4.427, 0.001], [0.000, -1.864, 4.015]], "species": ["Be", "Cu", "Cu", "Mn"], "fractional_positions": [[0.500, 0.500, 0.500], [0.000, 0.500, 0.000], [0.000, 0.000, 0.500], [0.500, 0.000, 0.000]], "formation_energy_ev_per_atom": 0.19}

---

{"formula": "MnBe2Cu", "functional": "SCAN", "state": "PBEsol geometry", "lattice_angstrom": [[2.335, -0.003, 0.000], [-0.539, 2.272, 0.000], [0.000, 0.000, 7.053]], "species": ["Be", "Be", "Mn", "Cu"], "fractional_positions": [[0.000, 0.000, 0.247], [0.000, 0.000, 0.753], [0.500, 0.500, 0.000], [0.500, 0.500, 0.500]], "formation_energy_ev_per_atom": -0.09}

---

{"formula": "BeCuMo2", "functional": "SCAN", "state": "PBEsol geometry", "lattice_angstrom": [[2.642, 0.000, -0.002], [0.000, 4.072, 0.000], [-0.655, 0.000, 4.777]], "species": ["Be", "Mo", "Mo", "Cu"], "fractional_positions": [[0.356, 0.000, 0.494], [0.980, 0.000, 0.987], [0.770, 0.500, 0.275], [0.393, 0.500, 0.744]], "formation_energy_ev_per_atom": 0.09}

---

{"formula": "BeCuMo2", "functional": "SCAN", "state": "PBEsol geometry", "lattice_angstrom": [[-2.060, 1.346, -0.564], [-1.935, -1.366, 3.808], [1.725, 3.540, 2.146]], "species": ["Be", "Mo", "Mo", "Cu"], "fractional_positions": [[0.500, 0.500, 0.500], [0.000, 0.000, 0.500], [0.000, 0.500, 0.000], [0.500, 0.000, 0.000]], "formation_energy_ev_per_atom": 0.28}

---

{"formula": "BeCuN2", "functional": "SCAN", "state": "PBEsol geometry", "lattice_angstrom": [[2.562, 0.000, 0.000], [1.281, 2.219, 0.000], [1.281, 0.740, 5.797]], "species": ["Be", "Cu", "N", "N"], "fractional_positions": [[0.500, 0.500, 0.500], [0.000, 0.000, 0.000], [0.896, 0.896, 0.312], [0.104, 0.104, 0.688]], "formation_energy_uncorrected_kj_per_mol_atoms": 69.6}

---

{"formula": "BeCuW2N", "functional": "SCAN", "state": "PBEsol geometry", "lattice_angstrom": [[3.519, 0.000, 0.000], [0.000, 4.238, 0.000], [0.000, 0.000, 4.238]], "species": ["Be", "Cu", "W", "W", "N"], "fractional_positions": [[0.000, 0.000, 0.000], [0.500, 0.000, 0.000], [0.000, 0.000, 0.500], [0.000, 0.500, 0.000], [0.500, 0.500, 0.500]], "formation_energy_uncorrected_kj_per_mol_atoms": 186.4}

---

{"formula": "BeNbCu2S", "functional": "SCAN", "state": "PBEsol geometry", "lattice_angstrom": [[-0.537, 3.468, -2.893], [-3.392, -2.337, -2.171], [-3.141, 1.902, 2.862]], "species": ["Be", "Nb", "S", "Cu", "Cu"], "fractional_positions": [[0.500, 0.000, 0.000], [0.000, 0.000, 0.000], [0.500, 0.500, 0.500], [0.000, 0.000, 0.500], [0.000, 0.500, 0.000]], "formation_energy_uncorrected_kj_per_mol_atoms": 175.9}

---

{"formula": "BeCuNi", "functional": "SCAN", "state": "PBEsol geometry", "lattice_angstrom": [[-0.565, -2.098, -1.110], [0.025, -1.749, 3.294], [-3.154, 1.525, -1.278]], "species": ["Ni", "Cu", "Be"], "fractional_positions": [[0.286, 0.667, 0.333], [0.724, 0.333, 0.667], [0.990, 0.000, 0.000]], "formation_energy_ev_per_atom": -0.16}

---

{"formula": "BeCuNi6", "functional": "SCAN", "state": "PBEsol geometry", "lattice_angstrom": [[5.948, -0.004, 0.000], [-1.996, 5.604, 0.000], [0.000, 0.000, 9.720]], "species": ["Be", "Be", "Be", "Be", "Cu", "Cu", "Cu", "Cu", "Ni", "Ni", "Ni", "Ni", "Ni", "Ni", "Ni", "Ni", "Ni", "Ni", "Ni", "Ni", "Ni", "Ni", "Ni", "Ni", "Ni", "Ni", "Ni", "Ni", "Ni", "Ni", "Ni", "Ni"], "fractional_positions": [[0.251, 0.749, 0.500], [0.749, 0.251, 0.500], [0.000, 0.000, 0.747], [0.000, 0.000, 0.253], [0.252, 0.748, 0.000], [0.748, 0.252, 0.000], [0.500, 0.500, 0.749], [0.500, 0.500, 0.251], [0.248, 0.752, 0.744], [0.879, 0.632, 0.872], [0.121, 0.368, 0.872], [0.752, 0.248, 0.744], [0.368, 0.121, 0.872], [0.632, 0.879, 0.872], [0.500, 0.500, 0.500], [0.120, 0.372, 0.622], [0.372, 0.120, 0.622], [0.248, 0.752, 0.256], [0.880, 0.628, 0.378], [0.120, 0.372, 0.378], [0.752, 0.248, 0.256], [0.372, 0.120, 0.378], [0.628, 0.880, 0.378], [0.500, 0.500, 0.000], [0.121, 0.368, 0.128], [0.368, 0.121, 0.128], [0.000, 0.000, 0.500], [0.628, 0.880, 0.622], [0.880, 0.628, 0.622], [0.000, 0.000, 0.000], [0.632, 0.879, 0.128], [0.879, 0.632, 0.128]], "formation_energy_ev_per_atom": -0.06}

---

{"formula": "BeCuNi2", "functional": "SCAN", "state": "PBEsol geometry", "lattice_angstrom": [[-2.472, 0.632, -0.082], [-0.157, -0.924, -2.375], [-1.437, -5.336, 2.170]], "species": ["Ni", "Ni", "Cu", "Be"], "fractional_positions": [[0.000, 0.000, 0.783], [0.000, 0.000, 0.217], [0.500, 0.500, 0.500], [0.500, 0.500, 0.000]], "formation_energy_ev_per_atom": -0.25}

---

{"formula": "BeCuNi2", "functional": "SCAN", "state": "PBEsol geometry", "lattice_angstrom": [[-2.339, 0.559, -0.716], [0.053, -1.890, -1.649], [-2.236, -3.828, 4.315]], "species": ["Ni", "Ni", "Cu", "Be"], "fractional_positions": [[0.000, 0.000, 0.006], [0.500, 0.500, 0.279], [0.500, 0.500, 0.726], [0.000, 0.000, 0.489]], "formation_energy_ev_per_atom": -0.16}

---

{"formula": "Be2CuOs", "functional": "SCAN", "state": "PBEsol geometry", "lattice_angstrom": [[-2.366, 0.980, 1.438], [1.654, -0.760, 3.239], [1.453, 3.419, 0.060]], "species": ["Be", "Be", "Os", "Cu"], "fractional_positions": [[0.000, 0.000, 0.500], [0.000, 0.500, 0.000], [0.500, 0.000, 0.000], [0.500, 0.500, 0.500]], "formation_energy_ev_per_atom": -0.31}

---

{"formula": "Be2CuOs", "functional": "SCAN", "state": "PBEsol geometry", "lattice_angstrom": [[2.616, 0.000, 0.000], [1.308, 2.266, 0.000], [1.308, 0.755, 7.448]], "species": ["Be", "Be", "Os", "Cu"], "fractional_positions": [[0.249, 0.249, 0.253], [0.751, 0.751, 0.747], [0.000, 0.000, 0.000], [0.500, 0.500, 0.500]], "formation_energy_ev_per_atom": -0.02}

---

{"formula": "Be2CuOs", "functional": "SCAN", "state": "PBEsol geometry", "lattice_angstrom": [[-1.668, 1.932, 0.043], [0.223, -1.136, 2.275], [5.362, 4.590, 1.768]], "species": ["Be", "Be", "Os", "Cu"], "fractional_positions": [[0.000, 0.000, 0.255], [0.000, 0.000, 0.745], [0.500, 0.500, 0.000], [0.500, 0.500, 0.500]], "formation_energy_ev_per_atom": -0.01}

---

{"formula": "Be2CuOs", "functional": "SCAN", "state": "PBEsol geometry", "lattice_angstrom": [[-1.653, 0.205, -1.930], [-0.632, -3.670, 0.151], [-2.425, 0.575, 3.820]], "species": ["Be", "Be", "Os", "Cu"], "fractional_positions": [[0.821, 0.000, 0.643], [0.677, 0.500, 0.353], [0.413, 0.500, 0.826], [0.088, 0.000, 0.176]], "formation_energy_ev_per_atom": -0.13}

---

{"formula": "Be2CuOs", "functional": "SCAN", "state": "PBEsol geometry", "lattice_angstrom": [[-0.445, -1.888, -1.656], [3.942, -0.094, -0.952], [-0.441, -1.747, 4.074]], "species": ["Be", "Be", "Os", "Cu"], "fractional_positions": [[0.012, 0.956, 0.024], [0.741, 0.297, 0.481], [0.261, 0.811, 0.521], [0.487, 0.436, 0.973]], "formation_energy_ev_per_atom": -0.13}

---

{"formula": "BeCuP", "functional": "SCAN", "state": "PBEsol geometry", "lattice_angstrom": [[2.549, 0.000, 0.000], [0.000, 4.035, 0.000], [0.000, -2.017, 3.494]], "species": ["P", "Cu", "Be"], "fractional_positions": [[0.500, 0.667, 0.333], [0.500, 0.333, 0.667], [0.500, 0.000, 0.000]], "formation_energy_ev_per_atom": 0.27}

---

{"formula": "BeCuP2", "functional": "SCAN", "state": "PBEsol geometry", "lattice_angstrom": [[-1.338, 2.019, -0.481], [-0.014, -0.808, -3.356], [-5.161, -3.228, 0.799]], "species": ["P", "P", "Cu", "Be"], "fractional_positions": [[0.000, 0.000, 0.918], [0.500, 0.500, 0.338], [0.500, 0.500, 0.727], [0.000, 0.000, 0.517]], "formation_energy_ev_per_atom": 0.19}

---

{"formula": "BeCu3P", "functional": "SCAN", "state": "PBEsol geometry", "lattice_angstrom": [[3.981, 0.000, 0.000], [0.000, 3.981, 0.000], [0.000, 0.000, 3.981]], "species": ["P", "Cu", "Cu", "Cu", "Be"], "fractional_positions": [[0.500, 0.500, 0.500], [0.000, 0.500, 0.000], [0.000, 0.000, 0.500], [0.500, 0.000, 0.000], [0.000, 0.000, 0.000]], "formation_energy_ev_per_atom": 0.60}

---

{"formula": "BeCuP3", "functional": "SCAN", "state": "PBEsol geometry", "lattice_angstrom": [[-2.313, -0.836, -3.355], [-2.412, -2.502, 2.286], [-2.477, 3.216, 0.907]], "species": ["P", "P", "P", "Cu", "Be"], "fractional_positions": [[0.000, 0.500, 0.000], [0.000, 0.000, 0.500], [0.500, 0.000, 0.000], [0.500, 0.500, 0.500], [0.000, 0.000, 0.000]], "formation_energy_ev_per_atom": 0.92}

---

It is found that the total moment values, taken in the order of the records, are 0.0 0.0 0.0 0.0 0.0 0.0 0.0 0.0 12.6 0.0 0.4 0.0 0.0 0.0 0.0 0.0 0.0 0.0 0.0 0.0 μB/cell.
It is found that the density of states at the Fermi level values, taken in the order of the records, are 2.5 1.1 2.2 2.5 2.0 3.9 4.3 1.0 24.4 2.0 2.5 1.3 1.4 2.1 1.4 1.3 0.9 1.4 1.3 2.3 states/eV/cell.